1.
The following is a PBE calculation of crystalline Ac5Tl4Pt at its relaxed geometry, from Alexandria via LeMat-Bulk.

a = 6.3260 Å, b = 8.2776 Å, c = 8.2776 Å
α = 81.60°, β = 67.54°, γ = 67.54°
Fractional coordinates of all 10 atoms:
1 Ac 0.5011 0.0000 0.0000
2 Ac 0.7565 0.1198 0.3692
3 Ac 0.1257 0.6308 0.1198
4 Ac 0.2455 0.8802 0.6308
5 Ac 0.8763 0.3692 0.8802
6 Tl 0.1454 0.2946 0.4167
7 Tl 0.5621 0.5833 0.2946
8 Tl 0.8567 0.7054 0.5833
9 Tl 0.4400 0.4167 0.7054
10 Pt 0.0011 0.0000 0.0000

Results
magnetic moment	0.000	μB/atom
crystal system	tetragonal
SG	I4/m
formation enthalpy at 0 K	-0.369	eV/atom
density	9.63	Mg/m³
D(E_F)	1.295	states/eV/atom



2.
The following is a PBE calculation of crystalline Ac12TlPt6 at its relaxed geometry, from Alexandria via LeMat-Bulk.

a = 9.5114 Å, b = 9.5114 Å, c = 9.5114 Å
α = 109.47°, β = 109.47°, γ = 109.47°
Fractional coordinates of all 19 atoms:
1 Pt 0.6319 0.5000 0.1319
2 Pt 0.5000 0.8681 0.3681
3 Pt 0.3681 0.5000 0.8681
4 Pt 0.8681 0.3681 0.5000
5 Pt 0.5000 0.1319 0.6319
6 Pt 0.1319 0.6319 0.5000
7 Ac 0.6894 0.8676 0.1782
8 Ac 0.5112 0.8218 0.6894
9 Ac 0.4888 0.1782 0.3106
10 Ac 0.8218 0.3106 0.1324
11 Ac 0.1324 0.8218 0.3106
12 Ac 0.3106 0.1324 0.8218
13 Ac 0.8218 0.6894 0.5112
14 Ac 0.1782 0.6894 0.8676
15 Ac 0.3106 0.4888 0.1782
16 Ac 0.1782 0.3106 0.4888
17 Ac 0.8676 0.1782 0.6894
18 Ac 0.6894 0.5112 0.8218
19 Tl 0.0000 0.0000 0.0000

Results
magnetic moment	0.000	μB/atom
crystal system	cubic
SG	Im-3
formation enthalpy at 0 K	-0.771	eV/atom
density	10.28	Mg/m³
D(E_F)	0.853	states/eV/atom